[1]
A relaxed Pr2Zn3Cd crystal. Source: the Alexandria database, functional GGA-PBE.

Properties
* magnetic moment: 0.000 μB per cell
* energy relative to the elements: -0.28 eV/atom
* crystal system: orthorhombic
* polymorph energy (0 for the lowest one): 41 meV per atom
* symmetry: No. 44
* E: -15.956 eV for the cell shown

Lattice parameters (Å, degrees): 3.7440 4.7465 8.6587 105.91 102.49 90.00
Element x y z (fractional)
Pr  0.1351  0.1351  0.2702
Pr  0.8661  0.3661  0.7322
Zn  0.6984  0.6984  0.3968
Zn  0.5419  0.5419  0.0837
Zn  0.2959  0.7959  0.5917
Cd  0.4627  0.9627  0.9253

---

[2]
A relaxed Tb12PrTm5 crystal. Source: the Alexandria database, functional GGA-PBE.

Properties
* magnetic moment: 0.000 μB per cell
* energy relative to the elements: 0.02 eV/atom
* crystal system: orthorhombic
* symmetry: No. 65
* E: -82.333 eV for the cell shown

Lattice parameters (Å, degrees): 15.0403 10.6434 5.0161 90.00 90.00 45.04
Element x y z (fractional)
Tb  0.8320  0.0000  0.4998
Tb  0.1680  0.0000  0.5002
Tb  0.6653  0.0000  0.9998
Tb  0.3347  0.0000  0.0002
Tb  0.3347  0.6645  0.0001
Tb  0.0008  0.6645  0.9999
Tb  0.9992  0.3355  0.0001
Tb  0.6653  0.3355  0.9999
Tb  0.4992  0.3324  0.4999
Tb  0.8315  0.6677  0.4999
Tb  0.1685  0.3324  0.5001
Tb  0.5008  0.6677  0.5001
Pr  0.0000  0.0000  0.0000
Tm  0.5000  0.0000  0.5000
Tm  0.1686  0.6629  0.5000
Tm  0.8314  0.3371  0.5000
Tm  0.6664  0.6672  0.0000
Tm  0.3336  0.3328  0.0000

---

[3]
A relaxed TaAlPb crystal. Source: the Alexandria database, functional GGA-PBE.

Properties
* magnetic moment: 0.029 μB per cell
* energy relative to the elements: 0.90 eV/atom
* crystal system: cubic
* polymorph energy (0 for the lowest one): 605 meV per atom
* symmetry: No. 216
* E: -16.596 eV for the cell shown

Lattice parameters (Å, degrees): 4.6095 4.6095 4.6095 60.00 60.00 60.00
Element x y z (fractional)
Pb  0.0000  0.0000  0.0000
Al  0.2500  0.2500  0.2500
Ta  0.5000  0.5000  0.5000

---

[4]
A relaxed CsTl2ZnAu crystal. Source: the Alexandria database, functional GGA-PBE.

Properties
* magnetic moment: 0.000 μB per cell
* energy relative to the elements: 0.04 eV/atom
* crystal system: tetragonal
* symmetry: No. 123
* E: -9.957 eV for the cell shown

Lattice parameters (Å, degrees): 5.7588 5.7588 5.1946 90.00 90.00 90.00
Element x y z (fractional)
Cs  0.5000  0.5000  0.5000
Tl  0.0000  0.5000  0.0000
Tl  0.5000  0.0000  0.0000
Au  0.0000  0.0000  0.0000
Zn  0.0000  0.0000  0.5000

---

[5]
A relaxed AgHgTe2N crystal. Source: the Alexandria database, functional GGA-PBE.

Properties
* magnetic moment: 1.928 μB per cell
* crystal system: tetragonal
* polymorph energy (0 for the lowest one): 175 meV per atom
* symmetry: No. 123
* E: -11.756 eV for the cell shown
* E_form (uncorrected): 1.201 eV/atom

Lattice parameters (Å, degrees): 5.8969 5.8969 3.9915 90.00 90.00 90.00
Element x y z (fractional)
Te  0.0000  0.5000  0.0000
Te  0.5000  0.0000  0.0000
Hg  0.0000  0.0000  0.0000
Ag  0.5000  0.5000  0.5000
N  0.0000  0.0000  0.5000

---

[6]
A relaxed Ca2MnAs crystal. Source: the Alexandria database, functional GGA-PBE.

Properties
* magnetic moment: 3.923 μB per cell
* energy relative to the elements: -0.43 eV/atom
* crystal system: orthorhombic
* symmetry: No. 38
* E: -19.527 eV for the cell shown

Lattice parameters (Å, degrees): 4.1739 4.3007 6.1158 69.40 90.00 90.00
Element x y z (fractional)
As  0.5000  0.5594  0.7570
Mn  0.0000  0.6862  0.5020
Ca  0.0000  0.9832  0.9087
Ca  0.5000  0.2711  0.3324

---

[7]
A relaxed PmAl2Ga crystal. Source: the Alexandria database, functional GGA-PBE.

Properties
* magnetic moment: 0.000 μB per cell
* energy relative to the elements: -0.43 eV/atom
* crystal system: tetragonal
* polymorph energy (0 for the lowest one): 0 meV per atom
* symmetry: No. 123
* E: -16.983 eV for the cell shown

Lattice parameters (Å, degrees): 4.4075 4.3115 4.3115 90.00 90.00 90.00
Element x y z (fractional)
Al  0.0000  0.0000  0.5000
Al  0.0000  0.5000  0.0000
Ga  0.5000  0.0000  0.0000
Pm  0.5000  0.5000  0.5000

---

[8]
A relaxed MgTiAl2 crystal. Source: the Alexandria database, functional GGA-PBE.

Properties
* magnetic moment: 0.000 μB per cell
* energy relative to the elements: -0.25 eV/atom
* crystal system: tetragonal
* symmetry: No. 123
* E: -17.967 eV for the cell shown

Lattice parameters (Å, degrees): 3.9977 4.1176 4.1176 90.00 90.00 90.00
Element x y z (fractional)
Mg  0.5000  0.5000  0.5000
Al  0.0000  0.0000  0.5000
Al  0.0000  0.5000  0.0000
Ti  0.5000  0.0000  0.0000

---

[9]
A relaxed LaRu2Pt crystal. Source: the Alexandria database, functional GGA-PBE.

Properties
* magnetic moment: 0.000 μB per cell
* energy relative to the elements: 0.11 eV/atom
* crystal system: orthorhombic
* polymorph energy (0 for the lowest one): 271 meV per atom
* symmetry: No. 71
* E: -29.093 eV for the cell shown

Lattice parameters (Å, degrees): 5.0561 5.0561 5.0561 130.99 130.88 71.91
Element x y z (fractional)
La  0.7500  0.2500  0.5000
Pt  0.2500  0.7500  0.5000
Ru  0.0008  0.0008  0.0000
Ru  0.4992  0.4992  0.0000

---

[10]
A relaxed CsRb2SiS4 crystal. Source: the Alexandria database, functional GGA-PBE.

Properties
* magnetic moment: 1.120 μB per cell
* crystal system: tetragonal
* symmetry: No. 121
* E: -32.278 eV for the cell shown
* E_form (uncorrected): -0.945 eV/atom

Lattice parameters (Å, degrees): 8.1356 7.2663 7.2663 75.27 55.96 55.96
Element x y z (fractional)
Cs  0.0000  0.0000  0.0000
Rb  0.5000  0.7495  0.2505
Rb  0.5000  0.2505  0.7495
Si  0.0000  0.5000  0.5000
S  0.6890  0.5248  0.7865
S  0.3110  0.2135  0.4752
S  0.0004  0.4752  0.2135
S  0.9996  0.7865  0.5248

---

[11]
A relaxed Y2HoUAs4 crystal. Source: the Alexandria database, functional GGA-PBE.

Properties
* magnetic moment: 2.336 μB per cell
* energy relative to the elements: -1.34 eV/atom
* crystal system: monoclinic
* symmetry: No. 10
* E: -58.103 eV for the cell shown

Lattice parameters (Å, degrees): 4.0921 7.1098 7.1115 109.19 90.00 90.00
Element x y z (fractional)
Y  0.5000  0.0000  0.5000
Y  0.0000  0.5000  0.5000
Ho  0.0000  0.0000  0.0000
U  0.5000  0.5000  0.0000
As  0.5000  0.2518  0.2456
As  0.5000  0.7482  0.7544
As  0.0000  0.2520  0.7532
As  0.0000  0.7480  0.2468

---

[12]
A relaxed AcTbAs2Rh2 crystal. Source: the Alexandria database, functional GGA-PBE.

Properties
* magnetic moment: 0.000 μB per cell
* energy relative to the elements: -1.08 eV/atom
* crystal system: trigonal
* symmetry: No. 164
* E: -39.196 eV for the cell shown

Lattice parameters (Å, degrees): 4.2878 4.2878 8.2442 90.00 90.00 120.00
Element x y z (fractional)
Ac  0.0000  0.0000  0.0000
Tb  0.0000  0.0000  0.5000
As  0.6667  0.3333  0.7256
As  0.3333  0.6667  0.2744
Rh  0.6667  0.3333  0.2657
Rh  0.3333  0.6667  0.7343